VASP calculation (GGA+U) on a relaxed MnInB2F8 crystal.

Geometry as POSCAR:
```
MnInB2F8
1.0
6.052 0.000 0.000
-3.026 5.241 0.000
0.000 0.000 6.232
Mn In B F
1 1 2 8
direct
0.000 0.000 0.000 Mn
0.000 0.000 0.500 In
0.333 0.667 0.778 B
0.667 0.333 0.222 B
0.206 0.411 0.857 F
0.206 0.794 0.857 F
0.589 0.794 0.857 F
0.411 0.206 0.143 F
0.667 0.333 0.446 F
0.333 0.667 0.554 F
0.794 0.589 0.143 F
0.794 0.206 0.143 F
```

symmetry: P-3m1 (164)
uncorrected energy: -67.66 eV for the cell shown
DOS(E_F): 0.08 states/eV/atom
theoretical density: 2.88 g/cm³